Entry 1:
## TlIrCl2 (PBE-GGA)

Data for an optimized crystal structure of TlIrCl2.

Formation energy without anion corrections ... 0.511 eV per atom
Offset from the most stable computed form ... 0.721 eV per atom
Crystal system ... tetragonal
Total magnetic moment ... 2.03 μB/cell

Unit cell a=3.326 b=3.326 c=7.869 alpha=90.00 beta=90.00 gamma=90.00
Space group P4/mmm (No. 123)
Inequivalent atoms, fractional coordinates:
Tl 0.000 0.000 0.000 [1 per cell]
Ir 0.000 0.000 0.500 [1 per cell]
Cl 0.500 0.500 0.302 [2 per cell]

Entry 2:
## TlIrCl2 (PBE-GGA)

Data for an optimized crystal structure of TlIrCl2.

Formation energy without anion corrections ... -0.060 eV per atom
Offset from the most stable computed form ... 0.150 eV per atom
Crystal system ... orthorhombic
Total magnetic moment ... 0.00 μB/cell

Unit cell a=4.372 b=4.562 c=10.157 alpha=90.00 beta=90.00 gamma=90.00
Space group Amm2 (No. 38)
Inequivalent atoms, fractional coordinates:
Tl 0.000 0.000 0.000 [2 per cell]
Ir 0.500 0.000 0.853 [2 per cell]
Cl 0.000 0.000 0.681 [2 per cell]
Cl 0.500 0.000 0.301 [2 per cell]

Entry 3:
## TlIrCl2 (PBE-GGA)

Data for an optimized crystal structure of TlIrCl2.

Formation energy without anion corrections ... 0.169 eV per atom
Offset from the most stable computed form ... 0.379 eV per atom
Crystal system ... orthorhombic
Total magnetic moment ... 0.00 μB/cell

Unit cell a=3.353 b=7.880 c=8.809 alpha=90.00 beta=90.00 gamma=90.00
Space group Imm2 (No. 44)
Inequivalent atoms, fractional coordinates:
Tl 0.000 0.000 0.000 [2 per cell]
Ir 0.000 0.500 0.259 [2 per cell]
Cl 0.000 0.000 0.586 [2 per cell]
Cl 0.000 0.500 0.729 [2 per cell]

Entry 4:
## TlIrCl2 (PBE-GGA)

Data for an optimized crystal structure of TlIrCl2.

Formation energy without anion corrections ... 0.125 eV per atom
Offset from the most stable computed form ... 0.334 eV per atom
Crystal system ... trigonal
Total magnetic moment ... 5.99 μB/cell

Unit cell a=3.7198 b=3.7198 c=24.8428 alpha=90.00 beta=90.00 gamma=120.00
Space group R3m (No. 160, hexagonal axes)
Inequivalent atoms, fractional coordinates:
Tl 0.0000 0.0000 0.0000 [3 per cell]
Ir 0.0000 0.0000 0.7408 [3 per cell]
Cl 0.0000 0.0000 0.2587 [3 per cell]
Cl 0.0000 0.0000 0.4581 [3 per cell]

Entry 5:
## TlIrCl2 (PBE-GGA)

Data for an optimized crystal structure of TlIrCl2.

Formation energy without anion corrections ... 0.175 eV per atom
Offset from the most stable computed form ... 0.385 eV per atom
Crystal system ... orthorhombic
Total magnetic moment ... 0.00 μB/cell

Unit cell a=3.416 b=6.877 c=9.036 alpha=90.00 beta=90.00 gamma=90.00
Space group Cmm2 (No. 35)
Inequivalent atoms, fractional coordinates:
Tl 0.000 0.000 0.000 [2 per cell]
Ir 0.000 0.500 0.769 [2 per cell]
Cl 0.000 0.000 0.598 [2 per cell]
Cl 0.000 0.500 0.224 [2 per cell]

Entry 6:
## Tl2IrCl8 (PBE-GGA)

Data for an optimized crystal structure of Tl2IrCl8.

Formation energy without anion corrections ... -0.573 eV per atom
Crystal system ... monoclinic
Total magnetic moment ... 0.00 μB/cell

Unit cell a=11.196 b=9.329 c=6.450 alpha=90.00 beta=100.82 gamma=90.00
Space group C2/m (No. 12)
Inequivalent atoms, fractional coordinates:
Tl 0.173 0.000 0.481 [4 per cell]
Ir 0.000 0.500 0.500 [2 per cell]
Cl 0.058 0.000 0.803 [4 per cell]
Cl 0.110 0.330 0.344 [8 per cell]
Cl 0.161 0.500 0.788 [4 per cell]

Entry 7:
## TlIrCl2 (PBE-GGA)

Data for an optimized crystal structure of TlIrCl2.

Formation energy without anion corrections ... -0.193 eV per atom
Offset from the most stable computed form ... 0.016 eV per atom
Crystal system ... monoclinic
Total magnetic moment ... 0.00 μB/cell

Unit cell a=11.440 b=3.538 c=6.094 alpha=90.00 beta=120.21 gamma=90.00
Space group Cm (No. 8)
Inequivalent atoms, fractional coordinates:
Tl 0.000 0.000 0.000 [2 per cell]
Ir 0.265 0.000 0.010 [2 per cell]
Cl 0.174 0.500 0.711 [2 per cell]
Cl 0.341 0.500 0.309 [2 per cell]

Entry 8:
## Tl3IrCl (PBE-GGA)

Data for an optimized crystal structure of Tl3IrCl.

Formation energy without anion corrections ... 0.830 eV per atom
Offset from the most stable computed form ... 1.111 eV per atom
Crystal system ... cubic
Total magnetic moment ... 1.20 μB/cell

Unit cell a=5.718 b=5.718 c=5.718 alpha=90.00 beta=90.00 gamma=90.00
Space group Pm-3m (No. 221)
Inequivalent atoms, fractional coordinates:
Tl 0.000 0.000 0.500 [3 per cell]
Ir 0.500 0.500 0.500 [1 per cell]
Cl 0.000 0.000 0.000 [1 per cell]

Entry 9:
## TlIrCl2 (PBE-GGA)

Data for an optimized crystal structure of TlIrCl2.

Formation energy without anion corrections ... 0.628 eV per atom
Offset from the most stable computed form ... 0.837 eV per atom
Crystal system ... tetragonal
Total magnetic moment ... 2.61 μB/cell

Unit cell a=3.960 b=3.960 c=11.368 alpha=90.00 beta=90.00 gamma=90.00
Space group I-4m2 (No. 119)
Inequivalent atoms, fractional coordinates:
Tl 0.000 0.000 0.000 [2 per cell]
Ir 0.000 0.500 0.250 [2 per cell]
Cl 0.000 0.000 0.500 [2 per cell]
Cl 0.000 0.500 0.750 [2 per cell]

Entry 10:
## TlIrCl5 (PBE-GGA)

Data for an optimized crystal structure of TlIrCl5.

Formation energy without anion corrections ... -0.562 eV per atom
Crystal system ... monoclinic
Total magnetic moment ... 0.00 μB/cell

Unit cell a=13.940 b=7.347 c=8.922 alpha=90.00 beta=109.85 gamma=90.00
Space group C2/c (No. 15)
Inequivalent atoms, fractional coordinates:
Tl 0.000 0.050 0.250 [4 per cell]
Ir 0.000 0.500 0.000 [4 per cell]
Cl 0.000 0.388 0.750 [4 per cell]
Cl 0.124 0.278 0.523 [8 per cell]
Cl 0.125 0.279 0.109 [8 per cell]

Entry 11:
## Tl3IrCl (PBE-GGA)

Data for an optimized crystal structure of Tl3IrCl.

Formation energy without anion corrections ... -0.280 eV per atom
Offset from the most stable computed form ... 0.000 eV per atom
Crystal system ... cubic
Total magnetic moment ... 0.00 μB/cell

Unit cell a=5.317 b=5.317 c=5.317 alpha=90.00 beta=90.00 gamma=90.00
Space group Pm-3m (No. 221)
Inequivalent atoms, fractional coordinates:
Tl 0.000 0.000 0.500 [3 per cell]
Ir 0.000 0.000 0.000 [1 per cell]
Cl 0.500 0.500 0.500 [1 per cell]

Entry 12:
## Tl4IrCl (PBE-GGA)

Data for an optimized crystal structure of Tl4IrCl.

Formation energy without anion corrections ... 0.632 eV per atom
Crystal system ... cubic
Total magnetic moment ... 2.53 μB/cell

Unit cell a=8.768 b=8.768 c=8.768 alpha=90.00 beta=90.00 gamma=90.00
Space group F-43m (No. 216)
Inequivalent atoms, fractional coordinates:
Tl 0.125 0.125 0.125 [16 per cell]
Ir 0.000 0.000 0.500 [4 per cell]
Cl 0.250 0.250 0.750 [4 per cell]

Question: Which formula does entry 12 have?
Answer: Tl4IrCl

Question: Which value of formation energy without anion corrections does entry 10 give?
Answer: -0.562 eV per atom

Question: What is the total magnetic moment in the tenth record?
Answer: 0.00 μB/cell